AgPtPb2: optimized geometry, PBE.

Geometry as extended XYZ:
```
4
Lattice="3.454 0.000 0.000 0.000 3.513 0.052 0.000 3.531 7.674" Properties=species:S:1:pos:R:3 pbc="T T T"
Pb 0.000 3.527 0.241
Pb 0.000 3.508 3.674
Ag 1.727 5.283 5.794
Pt 1.727 1.761 1.931
```

spin magnetization	0.0	Bohr magnetons per cell
total energy	-4.078	eV/atom
polymorph energy (0 for the lowest one)	3.4	kJ/mol of atoms
crystal system	monoclinic
energy relative to the elements	0.00	eV/f.u.